A relaxed LaMgTe2N crystal. Source: Alexandria via LeMat-Bulk, functional PBE. Values from VASP.

Cell and atoms, written as Quantum ESPRESSO input:
```
&SYSTEM
  ibrav = 0, nat = 5, ntyp = 4
/
ATOMIC_SPECIES
La 138.91 La.upf
Mg 24.30 Mg.upf
Te 127.60 Te.upf
N 14.01 N.upf
ATOMIC_POSITIONS angstrom
La 0.000 0.000 0.000
Mg 2.823 2.823 2.064
Te 0.000 2.823 2.064
Te 2.823 0.000 2.064
N 2.823 2.823 0.000
CELL_PARAMETERS angstrom
5.645 0.000 0.000
0.000 5.645 0.000
0.000 0.000 4.129
```

Results
Excess energy over the best structure of this formula in the dataset = 0.00 kcal/mol of atoms
Space group = No. 123
Formation energy without anion corrections = -0.313 eV per atom

***

A relaxed Ca3CeU3N8 crystal. Source: Alexandria via LeMat-Bulk, functional PBE. Values from VASP.

Cell and atoms, written as Quantum ESPRESSO input:
```
&SYSTEM
  ibrav = 0, nat = 15, ntyp = 4
/
ATOMIC_SPECIES
Ca 40.08 Ca.upf
Ce 140.12 Ce.upf
U 238.03 U.upf
N 14.01 N.upf
ATOMIC_POSITIONS angstrom
Ca -1.759 -1.016 5.677
Ca -1.759 1.016 11.355
Ca 0.000 2.031 5.677
Ce 0.000 0.000 8.516
U -3.518 0.000 8.516
U -1.759 1.016 2.839
U 1.759 1.016 2.839
N -1.811 -1.046 9.591
N 0.000 0.000 4.122
N 0.000 -2.091 7.441
N -1.811 1.046 7.441
N 1.811 -1.046 9.591
N 0.000 2.091 9.591
N 0.000 0.000 12.910
N 1.811 1.046 7.441
CELL_PARAMETERS angstrom
3.518 2.031 5.677
-3.518 2.031 5.677
0.000 -4.062 5.677
```

Results
Space group = No. 166
Formation energy without anion corrections = -1.203 eV per atom

***

A relaxed KAg3Te crystal. Source: Alexandria via LeMat-Bulk, functional PBE. Values from VASP.

Cell and atoms, written as Quantum ESPRESSO input:
```
&SYSTEM
  ibrav = 0, nat = 5, ntyp = 3
/
ATOMIC_SPECIES
K 39.10 K.upf
Ag 107.87 Ag.upf
Te 127.60 Te.upf
ATOMIC_POSITIONS angstrom
K 0.000 0.000 0.000
Ag 0.000 0.000 2.723
Ag 0.000 2.723 0.000
Ag 2.723 0.000 0.000
Te 2.723 2.723 2.723
CELL_PARAMETERS angstrom
5.446 0.000 0.000
0.000 5.446 0.000
0.000 0.000 5.446
```

Results
Excess energy over the best structure of this formula in the dataset = 19.35 kcal/mol of atoms
Space group = No. 221
Formation energy without anion corrections = 1.032 eV per atom

***

A relaxed Nd14SmAl crystal. Source: Alexandria via LeMat-Bulk, functional PBE. Values from VASP.

Cell and atoms, written as Quantum ESPRESSO input:
```
&SYSTEM
  ibrav = 0, nat = 16, ntyp = 3
/
ATOMIC_SPECIES
Nd 144.24 Nd.upf
Sm 150.36 Sm.upf
Al 26.98 Al.upf
ATOMIC_POSITIONS angstrom
Nd 0.000 0.000 0.000
Nd 0.000 0.000 4.720
Nd 0.000 -1.826 7.939
Nd 0.000 1.826 7.939
Nd 2.731 0.000 8.793
Nd 3.023 0.000 2.481
Nd 3.023 -1.772 5.579
Nd 3.023 1.772 5.579
Nd 5.647 -1.826 8.035
Nd 5.647 1.826 8.035
Nd 8.272 0.000 2.481
Nd 8.272 -1.772 5.579
Nd 8.272 1.772 5.579
Nd 8.564 0.000 8.793
Sm 5.647 0.000 11.047
Al 5.647 0.000 4.870
CELL_PARAMETERS angstrom
11.295 0.000 0.000
0.000 4.318 5.571
0.000 -4.318 5.571
```

Results
Space group = No. 38
Energy relative to the elements = 0.3 eV/f.u.

***

A relaxed Sm2PuMnN5 crystal. Source: Alexandria via LeMat-Bulk, functional PBE. Values from VASP.

Cell and atoms, written as Quantum ESPRESSO input:
```
&SYSTEM
  ibrav = 0, nat = 18, ntyp = 4
/
ATOMIC_SPECIES
Sm 150.36 Sm.upf
Pu 244.00 Pu.upf
Mn 54.94 Mn.upf
N 14.01 N.upf
ATOMIC_POSITIONS angstrom
Sm 1.713 5.377 5.147
Sm 1.713 5.001 1.146
Sm 1.713 -5.001 6.292
Sm 1.713 -5.377 0.000
Pu 1.713 4.019 8.408
Pu 1.713 -4.019 3.262
Mn 1.713 0.143 2.812
Mn 1.713 -0.143 7.959
N 1.713 6.252 8.694
N 1.713 2.947 4.692
N 1.713 2.533 1.914
N 1.713 1.710 8.384
N 1.713 0.128 6.146
N 1.713 -0.128 1.000
N 1.713 -1.710 3.237
N 1.713 -2.533 7.061
N 1.713 -2.947 9.839
N 1.713 -6.252 3.547
CELL_PARAMETERS angstrom
1.713 -6.841 0.000
1.713 6.841 0.000
0.000 0.000 10.293
```

Results
Space group = No. 36
Formation energy without anion corrections = -1.011 eV per atom

***

A relaxed YHgRu crystal. Source: Alexandria via LeMat-Bulk, functional PBE. Values from VASP.

Cell and atoms, written as Quantum ESPRESSO input:
```
&SYSTEM
  ibrav = 0, nat = 3, ntyp = 3
/
ATOMIC_SPECIES
Y 88.91 Y.upf
Hg 200.59 Hg.upf
Ru 101.07 Ru.upf
ATOMIC_POSITIONS angstrom
Y 0.000 0.000 0.000
Hg 1.737 1.003 2.535
Ru 0.000 2.006 4.553
CELL_PARAMETERS angstrom
3.474 0.000 0.000
-1.737 3.009 0.000
0.000 0.000 6.429
```

Results
Excess energy over the best structure of this formula in the dataset = 6.71 kcal/mol of atoms
Space group = No. 156
Energy relative to the elements = 0.3 eV/f.u.

***

A relaxed HfAlCo3 crystal. Source: Alexandria via LeMat-Bulk, functional PBE. Values from VASP.

Cell and atoms, written as Quantum ESPRESSO input:
```
&SYSTEM
  ibrav = 0, nat = 5, ntyp = 3
/
ATOMIC_SPECIES
Hf 178.49 Hf.upf
Al 26.98 Al.upf
Co 58.93 Co.upf
ATOMIC_POSITIONS angstrom
Hf 0.000 0.000 0.000
Al 2.088 2.088 2.088
Co 0.000 2.088 2.088
Co 2.088 0.000 2.088
Co 2.088 2.088 0.000
CELL_PARAMETERS angstrom
4.176 0.000 0.000
0.000 4.176 0.000
0.000 0.000 4.176
```

Results
Excess energy over the best structure of this formula in the dataset = 0.00 kcal/mol of atoms
Space group = No. 221
Energy relative to the elements = 1.9 eV/f.u.

***

A relaxed AcLaNi4 crystal. Source: Alexandria via LeMat-Bulk, functional PBE. Values from VASP.

Cell and atoms, written as Quantum ESPRESSO input:
```
&SYSTEM
  ibrav = 0, nat = 6, ntyp = 3
/
ATOMIC_SPECIES
Ac 227.00 Ac.upf
La 138.91 La.upf
Ni 58.69 Ni.upf
ATOMIC_POSITIONS angstrom
Ac 0.000 0.000 0.000
La 1.869 1.869 1.869
Ni 4.670 2.806 2.806
Ni 2.806 4.670 2.806
Ni 2.806 2.806 4.670
Ni 4.670 4.670 4.670
CELL_PARAMETERS angstrom
0.000 3.738 3.738
3.738 0.000 3.738
3.738 3.738 0.000
```

Results
Excess energy over the best structure of this formula in the dataset = 1.14 kcal/mol of atoms
Space group = No. 216
Energy relative to the elements = -1.5 eV/f.u.

***

A relaxed LaTbMgTc crystal. Source: Alexandria via LeMat-Bulk, functional PBE. Values from VASP.

Cell and atoms, written as Quantum ESPRESSO input:
```
&SYSTEM
  ibrav = 0, nat = 4, ntyp = 4
/
ATOMIC_SPECIES
La 138.91 La.upf
Tb 158.93 Tb.upf
Mg 24.30 Mg.upf
Tc 98.00 Tc.upf
ATOMIC_POSITIONS angstrom
La 0.000 0.000 0.000
Tb 3.648 3.648 3.648
Mg 1.824 1.824 1.824
Tc 5.471 5.471 5.471
CELL_PARAMETERS angstrom
0.000 3.648 3.648
3.648 0.000 3.648
3.648 3.648 0.000
```

Results
Space group = No. 216
Energy relative to the elements = 0.3 eV/f.u.

***

A relaxed KSr2MgNi crystal. Source: Alexandria via LeMat-Bulk, functional PBE. Values from VASP.

Cell and atoms, written as Quantum ESPRESSO input:
```
&SYSTEM
  ibrav = 0, nat = 5, ntyp = 4
/
ATOMIC_SPECIES
K 39.10 K.upf
Sr 87.62 Sr.upf
Mg 24.30 Mg.upf
Ni 58.69 Ni.upf
ATOMIC_POSITIONS angstrom
K 0.000 0.000 0.000
Sr 0.000 2.965 2.655
Sr 2.965 0.000 2.655
Mg 2.965 2.965 0.000
Ni 2.965 2.965 2.655
CELL_PARAMETERS angstrom
5.929 0.000 0.000
0.000 5.929 0.000
0.000 0.000 5.309
```

Results
Space group = No. 123
Energy relative to the elements = 0.3 eV/f.u.

***

A relaxed ThPaO4 crystal. Source: Alexandria via LeMat-Bulk, functional PBE. Values from VASP.

Cell and atoms, written as Quantum ESPRESSO input:
```
&SYSTEM
  ibrav = 0, nat = 12, ntyp = 3
/
ATOMIC_SPECIES
Th 232.04 Th.upf
Pa 231.04 Pa.upf
O 16.00 O.upf
ATOMIC_POSITIONS angstrom
Th 2.777 1.388 1.385
Th 0.000 1.388 4.156
Pa 2.777 -1.388 4.156
Pa 0.000 4.165 1.385
O 1.353 0.000 0.000
O 4.200 0.000 0.000
O 1.388 2.741 -2.771
O 1.388 -0.036 2.771
O 1.353 2.777 0.000
O 1.424 0.000 5.541
O -1.388 2.812 2.771
O 1.388 2.812 2.771
CELL_PARAMETERS angstrom
-2.777 2.777 5.541
2.777 -2.777 5.541
2.777 2.777 -5.541
```

Results
Space group = No. 141
Formation energy without anion corrections = -3.706 eV per atom

***

A relaxed Sr3Ni crystal. Source: Alexandria via LeMat-Bulk, functional PBE. Values from VASP.

Cell and atoms, written as Quantum ESPRESSO input:
```
&SYSTEM
  ibrav = 0, nat = 4, ntyp = 2
/
ATOMIC_SPECIES
Sr 87.62 Sr.upf
Ni 58.69 Ni.upf
ATOMIC_POSITIONS angstrom
Sr 0.000 0.000 0.000
Sr 1.961 0.000 4.106
Sr 0.000 3.106 2.198
Ni 0.000 0.000 6.304
CELL_PARAMETERS angstrom
-1.961 3.106 6.304
1.961 -3.106 6.304
1.961 3.106 -6.304
```

Results
Space group = No. 71
Energy relative to the elements = 0.5 eV/f.u.

***

A relaxed Si2TeP crystal. Source: Alexandria via LeMat-Bulk, functional PBE. Values from VASP.

Cell and atoms, written as Quantum ESPRESSO input:
```
&SYSTEM
  ibrav = 0, nat = 4, ntyp = 3
/
ATOMIC_SPECIES
Si 28.09 Si.upf
Te 127.60 Te.upf
P 30.97 P.upf
ATOMIC_POSITIONS angstrom
Si 0.000 0.000 0.000
Si 0.000 1.931 2.620
Te 1.931 0.000 2.620
P 0.000 0.000 5.240
CELL_PARAMETERS angstrom
-1.931 1.931 5.240
1.931 -1.931 5.240
1.931 1.931 -5.240
```

Results
Excess energy over the best structure of this formula in the dataset = 12.70 kcal/mol of atoms
Space group = No. 119
Formation energy without anion corrections = 0.722 eV per atom

***

A relaxed GeHO crystal. Source: Alexandria via LeMat-Bulk, functional PBE. Values from VASP.

Cell and atoms, written as Quantum ESPRESSO input:
```
&SYSTEM
  ibrav = 0, nat = 3, ntyp = 3
/
ATOMIC_SPECIES
Ge 72.64 Ge.upf
H 1.01 H.upf
O 16.00 O.upf
ATOMIC_POSITIONS angstrom
Ge 0.000 0.000 0.000
H 0.000 0.000 2.477
O 0.000 0.000 3.469
CELL_PARAMETERS angstrom
-1.689 1.689 3.724
1.689 -1.689 3.724
1.689 1.689 -3.724
```

Results
Excess energy over the best structure of this formula in the dataset = 5.96 kcal/mol of atoms
Space group = No. 107

***

A relaxed CeSm2Te4 crystal. Source: Alexandria via LeMat-Bulk, functional PBE. Values from VASP.

Cell and atoms, written as Quantum ESPRESSO input:
```
&SYSTEM
  ibrav = 0, nat = 7, ntyp = 3
/
ATOMIC_SPECIES
Ce 140.12 Ce.upf
Sm 150.36 Sm.upf
Te 127.60 Te.upf
ATOMIC_POSITIONS angstrom
Ce 0.000 0.000 0.000
Sm 3.442 0.000 1.875
Sm 10.007 0.000 5.059
Te 0.550 0.000 3.141
Te 6.114 0.000 0.142
Te 7.334 0.000 6.792
Te 12.899 0.000 3.793
CELL_PARAMETERS angstrom
8.434 -2.228 0.000
8.434 2.228 0.000
-3.419 0.000 6.934
```

Results
Excess energy over the best structure of this formula in the dataset = 0.44 kcal/mol of atoms
Space group = No. 12
Formation energy without anion corrections = -1.374 eV per atom

***

A relaxed HoCo3Ge3 crystal. Source: Alexandria via LeMat-Bulk, functional PBE. Values from VASP.

Cell and atoms, written as Quantum ESPRESSO input:
```
&SYSTEM
  ibrav = 0, nat = 14, ntyp = 3
/
ATOMIC_SPECIES
Ho 164.93 Ho.upf
Co 58.93 Co.upf
Ge 72.64 Ge.upf
ATOMIC_POSITIONS angstrom
Ho 0.000 4.679 1.009
Ho 4.052 2.339 3.027
Co -2.961 6.006 1.009
Co 0.331 1.451 1.009
Co 1.422 0.439 3.027
Co 2.630 6.579 1.009
Co 3.721 5.567 3.027
Co 7.012 1.012 3.027
Ge -2.090 5.065 3.027
Ge 0.710 2.675 3.027
Ge 2.672 0.722 1.009
Ge 1.380 6.296 3.027
Ge 3.342 4.343 1.009
Ge 6.142 1.953 1.009
CELL_PARAMETERS angstrom
8.104 0.000 0.000
-4.052 7.018 0.000
0.000 0.000 4.035
```

Results
Excess energy over the best structure of this formula in the dataset = 0.00 kcal/mol of atoms
Space group = No. 176
Energy relative to the elements = -2.3 eV/f.u.

***

A relaxed CaLa2Sb2 crystal. Source: Alexandria via LeMat-Bulk, functional PBE. Values from VASP.

Cell and atoms, written as Quantum ESPRESSO input:
```
&SYSTEM
  ibrav = 0, nat = 10, ntyp = 3
/
ATOMIC_SPECIES
Ca 40.08 Ca.upf
La 138.91 La.upf
Sb 121.76 Sb.upf
ATOMIC_POSITIONS angstrom
Ca 0.000 0.000 0.000
Ca 4.289 4.289 0.000
La 1.316 2.973 2.211
La 2.973 7.262 2.211
La 5.605 1.316 2.211
La 7.262 5.605 2.211
Sb 1.295 5.584 0.000
Sb 2.994 1.295 0.000
Sb 5.584 7.283 0.000
Sb 7.283 2.994 0.000
CELL_PARAMETERS angstrom
8.578 0.000 0.000
0.000 8.578 0.000
0.000 0.000 4.421
```

Results
Excess energy over the best structure of this formula in the dataset = 0.00 kcal/mol of atoms
Space group = No. 127
Formation energy without anion corrections = -1.078 eV per atom

***

A relaxed TbPd2Au crystal. Source: Alexandria via LeMat-Bulk, functional PBE. Values from VASP.

Cell and atoms, written as Quantum ESPRESSO input:
```
&SYSTEM
  ibrav = 0, nat = 4, ntyp = 3
/
ATOMIC_SPECIES
Tb 158.93 Tb.upf
Pd 106.42 Pd.upf
Au 196.97 Au.upf
ATOMIC_POSITIONS angstrom
Tb 0.000 0.000 0.000
Pd 1.674 1.674 1.674
Pd 5.021 5.021 5.021
Au 3.347 3.347 3.347
CELL_PARAMETERS angstrom
0.000 3.347 3.347
3.347 0.000 3.347
3.347 3.347 0.000
```

Results
Excess energy over the best structure of this formula in the dataset = 2.26 kcal/mol of atoms
Space group = No. 225
Energy relative to the elements = -3.0 eV/f.u.

***

A relaxed ReSi2Ir crystal. Source: Alexandria via LeMat-Bulk, functional PBE. Values from VASP.

Cell and atoms, written as Quantum ESPRESSO input:
```
&SYSTEM
  ibrav = 0, nat = 4, ntyp = 3
/
ATOMIC_SPECIES
Re 186.21 Re.upf
Si 28.09 Si.upf
Ir 192.22 Ir.upf
ATOMIC_POSITIONS angstrom
Re 0.000 0.000 0.000
Si 0.000 0.000 2.512
Si 1.373 1.914 0.916
Ir 1.373 1.914 3.414
CELL_PARAMETERS angstrom
2.747 0.000 0.000
0.000 3.827 0.000
0.000 0.000 5.234
```

Results
Excess energy over the best structure of this formula in the dataset = 1.30 kcal/mol of atoms
Space group = No. 25
Formation energy without anion corrections = -0.326 eV per atom

***

A relaxed Pr2Y4ThSc crystal. Source: Alexandria via LeMat-Bulk, functional PBE. Values from VASP.

Cell and atoms, written as Quantum ESPRESSO input:
```
&SYSTEM
  ibrav = 0, nat = 8, ntyp = 4
/
ATOMIC_SPECIES
Pr 140.91 Pr.upf
Y 88.91 Y.upf
Th 232.04 Th.upf
Sc 44.96 Sc.upf
ATOMIC_POSITIONS angstrom
Pr 0.000 0.000 0.000
Pr 2.934 2.934 0.000
Y 0.000 2.934 1.964
Y 0.000 2.934 5.563
Y 2.934 0.000 1.964
Y 2.934 0.000 5.563
Th 0.000 0.000 3.764
Sc 2.934 2.934 3.764
CELL_PARAMETERS angstrom
5.868 0.000 0.000
0.000 5.868 0.000
0.000 0.000 7.527
```

Results
Space group = No. 123
Energy relative to the elements = 1.0 eV/f.u.

***

Ordered total energy results: -4.5387; -8.6969; -1.5261; -4.6813; -9.2962; -5.2570; -6.6243; -5.6022; -5.3160; -2.3121; -9.8311; -2.5930; -4.1272; -4.6041; -5.3648; -6.0011; -5.0984; -5.3134; -8.3652; -6.0166; unit eV/atom.